Material: Pm2SnHg
Method: DFT, PBEsol
State: relaxed

Computed properties:
- Mass density: 9.54 g/cm³

abc: 7.5149 7.5149 7.5149
angles: 90.00 90.00 90.00
With the nearest neighbours (Å) after each atom.
Space group Fm-3m (No. 225)
Symmetry-distinct sites (fractional):
Pm (0.2500, 0.2500, 0.2500) [8 per cell]  4 Hg 3.25, 4 Sn 3.25
Sn (0.0000, 0.0000, 0.0000) [4 per cell]  8 Pm 3.25
Hg (0.0000, 0.0000, 0.5000) [4 per cell]  8 Pm 3.25



Material: TeP2Pt
Method: DFT, PBEsol
State: relaxed

Computed properties:
- Mass density: 8.61 g/cm³
- Formation energy without anion corrections: -0.177 eV/atom

abc: 4.5031 3.6793 4.6881
angles: 90.00 107.14 90.00
With the nearest neighbours (Å) after each atom.
Space group P2/m (No. 10)
Symmetry-distinct sites (fractional):
Te (0.0000, 0.0000, 0.0000) [1 per cell]  2 Pt 2.73, 4 P 2.83
P (0.2374, 0.5000, 0.6640) [2 per cell]  1 P 2.24, 2 Pt 2.43
Pt (0.5000, 0.0000, 0.5000) [1 per cell]  4 P 2.43



Material: NaPH6
Method: DFT, PBEsol
State: relaxed

Computed properties:
- Mass density: 1.03 g/cm³

abc: 7.2976 7.2976 7.2976
angles: 90.00 90.00 90.00
With the nearest neighbours (Å) after each atom.
Space group Fm-3m (No. 225)
Symmetry-distinct sites (fractional):
Na (0.0000, 0.0000, 0.0000) [4 per cell]  6 H 2.16
P (0.0000, 0.0000, 0.5000) [4 per cell]  6 H 1.49
H (0.0000, 0.0000, 0.2957) [24 per cell]  1 P 1.49



Material: Sc2AuCl
Method: DFT, PBEsol
State: relaxed

Computed properties:
- Offset from the most stable computed form: 193.6 meV/atom
- Mass density: 6.08 g/cm³
- Formation energy without anion corrections: -0.757 eV/atom

abc: 3.3439 3.3439 27.2558
angles: 90.00 90.00 120.00
With the nearest neighbours (Å) after each atom.
Space group R3m (No. 160, hexagonal axes)
Symmetry-distinct sites (fractional):
Sc (0.0000, 0.0000, 0.0000) [3 per cell]  3 Au 2.72
Sc (0.0000, 0.0000, 0.2398) [3 per cell]  3 Cl 2.56
Au (0.0000, 0.0000, 0.7370) [3 per cell]  3 Sc 2.72
Cl (0.0000, 0.0000, 0.5112) [3 per cell]  3 Sc 2.56



Material: Cu2W2N
Method: DFT, PBEsol
State: relaxed

Computed properties:
- Mass density: 13.53 g/cm³
- Formation energy without anion corrections: 1.005 eV/atom

abc: 3.0313 3.0313 13.5912
angles: 90.00 90.00 90.00
With the nearest neighbours (Å) after each atom.
Space group I4/mmm (No. 139)
Symmetry-distinct sites (fractional):
Cu (0.0000, 0.5000, 0.2500) [4 per cell]  4 Cu 2.14
W (0.0000, 0.0000, 0.0894) [4 per cell]  1 W 2.43, 4 N 2.46, 4 Cu 2.66
N (0.0000, 0.0000, 0.5000) [2 per cell]  8 W 2.46



Material: SnBi2Sb
Method: DFT, PBEsol
State: relaxed

Computed properties:
- Offset from the most stable computed form: 0.0 meV/atom
- Mass density: 9.64 g/cm³
- Formation energy without anion corrections: 0.093 eV/atom

abc: 7.6844 7.6844 7.6844
angles: 90.00 90.00 90.00
With the nearest neighbours (Å) after each atom.
Space group Fm-3m (No. 225)
Symmetry-distinct sites (fractional):
Sn (0.0000, 0.0000, 0.0000) [4 per cell]  8 Bi 3.33
Bi (0.2500, 0.2500, 0.2500) [8 per cell]  4 Sn 3.33, 4 Sb 3.33
Sb (0.0000, 0.0000, 0.5000) [4 per cell]  8 Bi 3.33



| no. | VASP energy (eV for the cell shown) | total moment (Bohr magnetons per cell) |
| --- | --- | --- |
| 1 | -71.1 | 0.00 |
| 2 | -22.8 | 0.00 |
| 3 | -103.6 | 0.00 |
| 4 | -66.5 | 3.72 |
| 5 | -79.6 | 0.00 |
| 6 | -68.1 | 0.00 |